Here is crystalline ZrTa4Al at its relaxed geometry from Alexandria. Energies are from GGA-PBEsol.

- Total DFT energy (no corrections): -62.2 eV/cell
- Formation enthalpy at 0 K: 0.1952 eV per atom
- DOS(E_F): 0.881 states/eV/atom
- Symmetry: No. 216

Lattice parameters (Å, degrees): 5.4461 5.4461 5.4461 60.00 60.00 60.00
Closest atoms and distances in Å follow each position.
Fractional coordinates of all 6 atoms:
Zr1 0.0000 0.0000 0.0000  12 Ta 3.19, 4 Al 3.34
Ta1 0.1216 0.6261 0.6261  6 Ta 2.70-2.75
Ta2 0.6261 0.1216 0.6261  6 Ta 2.70-2.75
Ta3 0.6261 0.6261 0.1216  6 Ta 2.70-2.75
Ta4 0.6261 0.6261 0.6261  6 Ta 2.70-2.75
Al1 0.2500 0.2500 0.2500  12 Ta 3.20, 4 Zr 3.34

---

Here is crystalline Tb2Al at its relaxed geometry from Alexandria. Energies are from GGA-PBEsol.

- Total DFT energy (no corrections): -59.8 eV/cell
- Formation enthalpy at 0 K: -0.2823 eV per atom
- DOS(E_F): 0.825 states/eV/atom
- Symmetry: No. 62

Lattice parameters (Å, degrees): 6.4519 5.0515 9.4040 90.00 90.00 90.00
Closest atoms and distances in Å follow each position.
Fractional coordinates of all 12 atoms:
Tb1 0.0282 0.2500 0.2094  3 Al 3.11-3.15, 5 Tb 3.32-3.45
Tb2 0.1885 0.2500 0.5740  5 Al 3.05-3.35, 2 Tb 3.37
Tb3 0.3115 0.7500 0.0740  5 Al 3.05-3.35, 2 Tb 3.37
Tb4 0.4718 0.7500 0.7094  3 Al 3.11-3.15, 5 Tb 3.32-3.45
Tb5 0.5282 0.2500 0.2906  3 Al 3.11-3.15, 5 Tb 3.32-3.45
Tb6 0.6885 0.2500 0.9260  5 Al 3.05-3.35, 2 Tb 3.37
Tb7 0.8115 0.7500 0.4260  5 Al 3.05-3.35, 2 Tb 3.37
Tb8 0.9718 0.7500 0.7906  3 Al 3.11-3.15, 5 Tb 3.32-3.45
Al1 0.2066 0.2500 0.8976  8 Tb 3.05-3.35
Al2 0.2934 0.7500 0.3976  8 Tb 3.05-3.35
Al3 0.7066 0.2500 0.6024  8 Tb 3.05-3.35
Al4 0.7934 0.7500 0.1024  8 Tb 3.05-3.35

---

> The highest total DFT energy (no corrections) belongs to which entry?

Tb2Al

---

Copy entry 1 word for word.
Here is crystalline ZrTa4Al at its relaxed geometry from Alexandria. Energies are from GGA-PBEsol.

- Total DFT energy (no corrections): -62.2 eV/cell
- Formation enthalpy at 0 K: 0.1952 eV per atom
- DOS(E_F): 0.881 states/eV/atom
- Symmetry: No. 216

Lattice parameters (Å, degrees): 5.4461 5.4461 5.4461 60.00 60.00 60.00
Closest atoms and distances in Å follow each position.
Fractional coordinates of all 6 atoms:
Zr1 0.0000 0.0000 0.0000  12 Ta 3.19, 4 Al 3.34
Ta1 0.1216 0.6261 0.6261  6 Ta 2.70-2.75
Ta2 0.6261 0.1216 0.6261  6 Ta 2.70-2.75
Ta3 0.6261 0.6261 0.1216  6 Ta 2.70-2.75
Ta4 0.6261 0.6261 0.6261  6 Ta 2.70-2.75
Al1 0.2500 0.2500 0.2500  12 Ta 3.20, 4 Zr 3.34

---

> What is the total DFT energy (no corrections) in the second record?

-59.8 eV/cell